(1)
VASP calculation (SCAN) on AlCuAg2 at its PBEsol-relaxed geometry.

Cell and atoms, written as extended XYZ:
```
4
Lattice="4.537 -1.437 0.000 4.537 1.437 0.000 -1.051 0.000 4.583" Properties=species:S:1:pos:R:3 pbc="T T T"
Al 0.000 0.000 0.000
Cu 4.012 0.000 2.292
Ag 1.486 0.000 3.432
Ag 6.537 0.000 1.151
```

Calculated values
Magnetic moment, Bohr magnetons per cell: 0.00
Symmetry: C2/m, No. 12
Energy relative to the elements, meV per atom: -53.6
E, eV per atom: -21.475
DOS(E_F), states/eV/cell: 1.13


(2)
VASP calculation (SCAN) on AlCuAg at its PBEsol-relaxed geometry.

Cell and atoms, written as extended XYZ:
```
3
Lattice="-1.565 1.565 4.320 1.565 -1.565 4.320 1.565 1.565 -4.320" Properties=species:S:1:pos:R:3 pbc="T T T"
Al 0.000 0.000 0.000
Cu 0.000 0.000 5.560
Ag 0.000 0.000 2.773
```

Calculated values
Magnetic moment, Bohr magnetons per cell: 0.00
Symmetry: I4mm, No. 107
Relative energy among the computed polymorphs, meV per atom: 0
Energy relative to the elements, meV per atom: -169.8
E, eV per atom: -18.276
DOS(E_F), states/eV/cell: 0.66


(3)
VASP calculation (SCAN) on TaAlCuAg2 at its PBEsol-relaxed geometry.

Cell and atoms, written as extended XYZ:
```
5
Lattice="4.969 0.000 0.000 0.000 4.969 0.000 0.000 0.000 5.062" Properties=species:S:1:pos:R:3 pbc="T T T"
Ta 0.000 0.000 0.000
Al 0.000 0.000 2.531
Cu 2.485 2.485 2.531
Ag 0.000 2.485 0.000
Ag 2.485 0.000 0.000
```

Calculated values
Magnetic moment, Bohr magnetons per cell: 0.00
Symmetry: P4/mmm, No. 123
Energy relative to the elements, meV per atom: 1742.8
E, eV per atom: -28.711
DOS(E_F), states/eV/cell: 3.87